A relaxed structure of LiSm5Mg4. Source: Alexandria via LeMat-Bulk, functional PBE.

Properties
The electronic total energy comes out at -3.245 eV/atom.

Cell lengths 3.8439, 3.8439, 19.1206 Å; angles 90.00, 90.00, 90.00 degrees
With the nearest neighbours (Å) after each atom.
Space group P4/mmm (No. 123)
Asymmetric unit:
Li 0.0000 0.0000 0.0000 x1  8 Sm 3.32
Sm 0.5000 0.5000 0.0997 x2  4 Mg 3.32, 4 Li 3.32
Sm 0.5000 0.5000 0.2982 x2  8 Mg 3.32-3.33
Sm 0.5000 0.5000 0.5000 x1  8 Mg 3.34
Mg 0.0000 0.0000 0.1990 x2  8 Sm 3.32
Mg 0.0000 0.0000 0.3987 x2  8 Sm 3.33-3.34